Material: Dy11In9Co4
Method: DFT, PBE
State: relaxed

Properties
**DFT total energy**: -4.76 eV/atom
**V**: 23.59 Å³ per atom

Unit cell a=3.644 b=12.965 c=12.965 alpha=112.45 beta=90.00 gamma=90.00
Fractional positions:
1 In 0.500 0.631 0.159
2 In 0.500 0.079 0.221
3 In 0.500 0.921 0.779
4 In 0.500 0.841 0.369
5 In 0.500 0.779 0.921
6 In 0.500 0.500 0.500
7 In 0.500 0.221 0.079
8 In 0.500 0.369 0.841
9 In 0.500 0.159 0.631
10 Dy 0.000 0.161 0.839
11 Dy 0.000 0.686 0.686
12 Dy 0.000 0.582 0.917
13 Dy 0.000 0.917 0.582
14 Dy 0.000 0.314 0.314
15 Dy 0.000 0.839 0.161
16 Dy 0.000 0.418 0.083
17 Dy 0.000 0.625 0.375
18 Dy 0.000 0.375 0.625
19 Dy 0.000 0.083 0.418
20 Dy 0.000 0.000 0.000
21 Co 0.500 0.752 0.550
22 Co 0.500 0.450 0.248
23 Co 0.500 0.550 0.752
24 Co 0.500 0.248 0.450